# LiLaTl PBEsol relaxed
# **Calculated formation energy**: -98.7 kJ/mol of formula units
# **Offset from the most stable computed form**: 0.000 eV per atom
# **Calculated density**: 7.6 g cm⁻³
data_LiLaTl
_chemical_formula_sum 'Li1 La1 Tl1'
_cell_length_a 5.0568
_cell_length_b 5.0568
_cell_length_c 3.4658
_cell_angle_alpha 90.00
_cell_angle_beta 90.00
_cell_angle_gamma 120.00
_symmetry_space_group_name_H-M 'P -6 m 2'
_symmetry_Int_Tables_number 187
_symmetry_space_group_name_Hall 'P -6 2'
loop_
_atom_site_label
_atom_site_fract_x
_atom_site_fract_y
_atom_site_fract_z
_atom_site_occupancy
Li1 0.0000 0.0000 0.0000 1
La1 0.6667 0.3333 0.5000 1
Tl1 0.3333 0.6667 0.0000 1

=====

# CsBe2Au PBEsol relaxed
# **Calculated formation energy**: 462.7 kJ/mol of formula units
# **Calculated density**: 6.8 g cm⁻³
data_CsBe2Au
_chemical_formula_sum 'Cs4 Be8 Au4'
_cell_length_a 6.9636
_cell_length_b 6.9636
_cell_length_c 6.9636
_cell_angle_alpha 90.00
_cell_angle_beta 90.00
_cell_angle_gamma 90.00
_symmetry_space_group_name_H-M 'F m -3 m'
_symmetry_Int_Tables_number 225
_symmetry_space_group_name_Hall '-F 4 2 3'
loop_
_atom_site_label
_atom_site_fract_x
_atom_site_fract_y
_atom_site_fract_z
_atom_site_occupancy
Cs1 0.0000 0.0000 0.0000 1
Be1 0.2500 0.2500 0.2500 1
Au1 0.0000 0.0000 0.5000 1

=====

# CaPPt PBEsol relaxed
# **Calculated formation energy**: -334.3 kJ/mol of formula units
# **Calculated density**: 7.6 g cm⁻³
data_CaPPt
_chemical_formula_sum 'Ca4 P4 Pt4'
_cell_length_a 4.3311
_cell_length_b 8.2728
_cell_length_c 6.4697
_cell_angle_alpha 90.00
_cell_angle_beta 90.00
_cell_angle_gamma 90.00
_symmetry_space_group_name_H-M 'P m c 21'
_symmetry_Int_Tables_number 26
loop_
_symmetry_equiv_pos_as_xyz
'x,y,z'
'-x,-y,z+1/2'
'-x,y,z'
'x,-y,z+1/2'
loop_
_atom_site_label
_atom_site_fract_x
_atom_site_fract_y
_atom_site_fract_z
_atom_site_occupancy
Ca1 0.0000 0.0873 0.0000 1
Ca2 0.0000 0.3726 0.4353 1
P1 0.5000 0.1155 0.3173 1
P2 0.5000 0.4290 0.7390 1
Pt1 0.5000 0.1571 0.6853 1
Pt2 0.5000 0.3304 0.0675 1

=====

# CoTcAu2 PBEsol relaxed
# **Calculated formation energy**: 173.5 kJ/mol of formula units
# **Offset from the most stable computed form**: 0.000 eV per atom
# **Calculated density**: 15.7 g cm⁻³
data_CoTcAu2
_chemical_formula_sum 'Co2 Tc2 Au4'
_cell_length_a 3.8499
_cell_length_b 3.8499
_cell_length_c 7.8490
_cell_angle_alpha 90.00
_cell_angle_beta 90.00
_cell_angle_gamma 90.00
_symmetry_space_group_name_H-M 'I 4/m m m'
_symmetry_Int_Tables_number 139
_symmetry_space_group_name_Hall '-I 4 2'
loop_
_atom_site_label
_atom_site_fract_x
_atom_site_fract_y
_atom_site_fract_z
_atom_site_occupancy
Co1 0.0000 0.0000 0.0000 1
Tc1 0.0000 0.0000 0.5000 1
Au1 0.0000 0.5000 0.2500 1

=====

# TaNbSb2 PBEsol relaxed
# **Energy relative to the elements, uncorrected**: -0.026 eV per atom
# **Calculated density**: 11.1 g cm⁻³
data_TaNbSb2
_chemical_formula_sum 'Ta4 Nb4 Sb8'
_cell_length_a 6.7581
_cell_length_b 6.7581
_cell_length_c 6.7581
_cell_angle_alpha 90.00
_cell_angle_beta 90.00
_cell_angle_gamma 90.00
_symmetry_space_group_name_H-M 'F m -3 m'
_symmetry_Int_Tables_number 225
_symmetry_space_group_name_Hall '-F 4 2 3'
loop_
_atom_site_label
_atom_site_fract_x
_atom_site_fract_y
_atom_site_fract_z
_atom_site_occupancy
Ta1 0.0000 0.0000 0.0000 1
Nb1 0.0000 0.0000 0.5000 1
Sb1 0.2500 0.2500 0.2500 1

=====

# TlMoP2 PBEsol relaxed
# **Calculated formation energy**: 48.6 kJ/mol of formula units
# **Offset from the most stable computed form**: 0.000 eV per atom
# **Calculated density**: 7.2 g cm⁻³
data_TlMoP2
_chemical_formula_sum 'Tl1 Mo1 P2'
_cell_length_a 3.1532
_cell_length_b 3.1532
_cell_length_c 8.3758
_cell_angle_alpha 90.00
_cell_angle_beta 90.00
_cell_angle_gamma 90.00
_symmetry_space_group_name_H-M 'P 4 m m'
_symmetry_Int_Tables_number 99
loop_
_symmetry_equiv_pos_as_xyz
'x,y,z'
'-y,x,z'
'-x,-y,z'
'y,-x,z'
'-x,y,z'
'y,x,z'
'x,-y,z'
'-y,-x,z'
loop_
_atom_site_label
_atom_site_fract_x
_atom_site_fract_y
_atom_site_fract_z
_atom_site_occupancy
Tl1 0.0000 0.0000 0.0000 1
Mo1 0.5000 0.5000 0.4643 1
P1 0.0000 0.0000 0.3499 1
P2 0.5000 0.5000 0.7261 1

=====

# TcRuCl2 PBEsol relaxed
# **Energy relative to the elements, uncorrected**: 0.690 eV per atom
# **Offset from the most stable computed form**: 0.272 eV per atom
# **Calculated density**: 7.5 g cm⁻³
data_TcRuCl2
_chemical_formula_sum 'Tc1 Ru1 Cl2'
_cell_length_a 2.8085
_cell_length_b 4.0603
_cell_length_c 5.2278
_cell_angle_alpha 90.00
_cell_angle_beta 90.00
_cell_angle_gamma 90.00
_symmetry_space_group_name_H-M 'P m m m'
_symmetry_Int_Tables_number 47
loop_
_symmetry_equiv_pos_as_xyz
'x,y,z'
'-x,-y,-z'
'-x,-y,z'
'x,y,-z'
'x,-y,-z'
'-x,y,z'
'-x,y,-z'
'x,-y,z'
loop_
_atom_site_label
_atom_site_fract_x
_atom_site_fract_y
_atom_site_fract_z
_atom_site_occupancy
Tc1 0.0000 0.0000 0.0000 1
Ru1 0.5000 0.0000 0.5000 1
Cl1 0.0000 0.5000 0.5000 1
Cl2 0.5000 0.5000 0.0000 1

=====

# SIO2F PBEsol relaxed
# **Energy relative to the elements, uncorrected**: -0.076 eV per atom
# **Calculated density**: 4.2 g cm⁻³
data_SIO2F
_chemical_formula_sum 'S1 I1 O2 F1'
_cell_length_a 3.5109
_cell_length_b 3.5109
_cell_length_c 6.8026
_cell_angle_alpha 90.00
_cell_angle_beta 90.00
_cell_angle_gamma 90.00
_symmetry_space_group_name_H-M 'P 4/m m m'
_symmetry_Int_Tables_number 123
_symmetry_space_group_name_Hall '-P 4 2'
loop_
_atom_site_label
_atom_site_fract_x
_atom_site_fract_y
_atom_site_fract_z
_atom_site_occupancy
S1 0.0000 0.0000 0.0000 1
I1 0.0000 0.0000 0.5000 1
O1 0.0000 0.5000 0.0000 1
F1 0.5000 0.5000 0.5000 1

=====

# AlAsHSe2 PBEsol relaxed
# **DFT total energy**: -3.7057 eV per atom
# **Calculated density**: 5.4 g cm⁻³
data_AlAsHSe2
_chemical_formula_sum 'Al1 As1 H1 Se2'
_cell_length_a 4.7988
_cell_length_b 4.7988
_cell_length_c 3.4614
_cell_angle_alpha 90.00
_cell_angle_beta 90.00
_cell_angle_gamma 90.00
_symmetry_space_group_name_H-M 'P 4/m m m'
_symmetry_Int_Tables_number 123
_symmetry_space_group_name_Hall '-P 4 2'
loop_
_atom_site_label
_atom_site_fract_x
_atom_site_fract_y
_atom_site_fract_z
_atom_site_occupancy
Al1 0.0000 0.0000 0.0000 1
As1 0.5000 0.5000 0.0000 1
H1 0.5000 0.5000 0.5000 1
Se1 0.0000 0.5000 0.5000 1

=====

# BaTiCo2 PBEsol relaxed
# **Calculated formation energy**: 292.2 kJ/mol of formula units
# **Calculated density**: 7.3 g cm⁻³
data_BaTiCo2
_chemical_formula_sum 'Ba4 Ti4 Co8'
_cell_length_a 6.5155
_cell_length_b 6.5155
_cell_length_c 6.5155
_cell_angle_alpha 90.00
_cell_angle_beta 90.00
_cell_angle_gamma 90.00
_symmetry_space_group_name_H-M 'F m -3 m'
_symmetry_Int_Tables_number 225
_symmetry_space_group_name_Hall '-F 4 2 3'
loop_
_atom_site_label
_atom_site_fract_x
_atom_site_fract_y
_atom_site_fract_z
_atom_site_occupancy
Ba1 0.0000 0.0000 0.0000 1
Ti1 0.0000 0.0000 0.5000 1
Co1 0.2500 0.2500 0.2500 1

=====

# KTeSeI2 PBEsol relaxed
# **Energy relative to the elements, uncorrected**: -0.344 eV per atom
# **Calculated density**: 4.6 g cm⁻³
data_KTeSeI2
_chemical_formula_sum 'K1 Te1 Se1 I2'
_cell_length_a 5.6974
_cell_length_b 5.6974
_cell_length_c 5.6086
_cell_angle_alpha 90.00
_cell_angle_beta 90.00
_cell_angle_gamma 90.00
_symmetry_space_group_name_H-M 'P 4/m m m'
_symmetry_Int_Tables_number 123
_symmetry_space_group_name_Hall '-P 4 2'
loop_
_atom_site_label
_atom_site_fract_x
_atom_site_fract_y
_atom_site_fract_z
_atom_site_occupancy
K1 0.0000 0.0000 0.0000 1
Te1 0.5000 0.5000 0.0000 1
Se1 0.5000 0.5000 0.5000 1
I1 0.0000 0.5000 0.5000 1

=====

# MgAsS2 PBEsol relaxed
# **Energy relative to the elements, uncorrected**: -0.385 eV per atom
# **Offset from the most stable computed form**: 0.000 eV per atom
# **Calculated density**: 3.0 g cm⁻³
data_MgAsS2
_chemical_formula_sum 'Mg4 As4 S8'
_cell_length_a 5.2066
_cell_length_b 5.2066
_cell_length_c 13.5459
_cell_angle_alpha 90.00
_cell_angle_beta 90.00
_cell_angle_gamma 90.00
_symmetry_space_group_name_H-M 'I -4 2 d'
_symmetry_Int_Tables_number 122
_symmetry_space_group_name_Hall 'I -4 2bw'
loop_
_atom_site_label
_atom_site_fract_x
_atom_site_fract_y
_atom_site_fract_z
_atom_site_occupancy
Mg1 0.0000 0.0000 0.0000 1
As1 0.0000 0.0000 0.5000 1
S1 0.2478 0.2500 0.6250 1

=====

no.,size of the total moment (μB/atom)
1,0.000
2,0.000
3,0.000
4,0.509
5,0.000
6,0.000
7,0.346
8,0.000
9,0.000
10,0.146
11,0.000
12,0.000